# Pm12Er5Mn3 | Alexandria | PBE | relaxed
data_Pm12Er5Mn3
_space_group_name_H-M_alt 'I a -3 d'
_space_group_IT_number 230
_space_group_name_Hall '-I 4bd 2c 3'
_cell_length_a 17.829
_cell_length_b 17.829
_cell_length_c 17.829
_cell_angle_alpha 90.00
_cell_angle_beta 90.00
_cell_angle_gamma 90.00
loop_
_atom_site_label
_atom_site_fract_x
_atom_site_fract_y
_atom_site_fract_z
_atom_site_occupancy
Pm1 0.014 0.100 0.644 1
Er1 0.000 0.000 0.000 1
Er2 0.000 0.250 0.375 1
Mn1 0.000 0.250 0.125 1
# **Formation energy from the elements**: 19.34 eV per formula unit
# **DOS at the Fermi energy**: 232.64 states/eV/cell
# **Calculated total energy**: -0.3233 Ry/atom


# PmErMn | Alexandria | PBE | relaxed
data_PmErMn
_space_group_name_H-M_alt 'I 4 m m'
_space_group_IT_number 107
_space_group_name_Hall 'I 4 -2'
_cell_length_a 3.515
_cell_length_b 3.515
_cell_length_c 12.785
_cell_angle_alpha 90.00
_cell_angle_beta 90.00
_cell_angle_gamma 90.00
loop_
_atom_site_label
_atom_site_fract_x
_atom_site_fract_y
_atom_site_fract_z
_atom_site_occupancy
Pm1 0.000 0.000 0.000 1
Er1 0.000 0.000 0.274 1
Mn1 0.000 0.000 0.643 1
# **Formation energy from the elements**: 0.53 eV per formula unit
# **DOS at the Fermi energy**: 9.04 states/eV/cell
# **Calculated total energy**: -0.4398 Ry/atom


# PmErMn4 | Alexandria | PBE | relaxed
data_PmErMn4
_space_group_name_H-M_alt 'F -4 3 m'
_space_group_IT_number 216
_space_group_name_Hall 'F -4 2 3'
_cell_length_a 7.310
_cell_length_b 7.310
_cell_length_c 7.310
_cell_angle_alpha 90.00
_cell_angle_beta 90.00
_cell_angle_gamma 90.00
loop_
_atom_site_label
_atom_site_fract_x
_atom_site_fract_y
_atom_site_fract_z
_atom_site_occupancy
Pm1 0.000 0.000 0.000 1
Er1 0.250 0.250 0.250 1
Mn1 0.124 0.124 0.624 1
# **Formation energy from the elements**: 1.18 eV per formula unit
# **DOS at the Fermi energy**: 29.71 states/eV/cell
# **Calculated total energy**: -0.5490 Ry/atom


# Pm2ErMnS6 | Alexandria | PBE | relaxed
data_Pm2ErMnS6
_space_group_name_H-M_alt 'P 1 21/c 1'
_space_group_IT_number 14
_space_group_name_Hall '-P 2ybc'
_cell_length_a 6.471
_cell_length_b 7.256
_cell_length_c 11.329
_cell_angle_alpha 90.00
_cell_angle_beta 123.92
_cell_angle_gamma 90.00
loop_
_atom_site_label
_atom_site_fract_x
_atom_site_fract_y
_atom_site_fract_z
_atom_site_occupancy
Pm1 0.207 0.105 0.247 1
Er1 0.500 0.000 0.000 1
Mn1 0.000 0.000 0.500 1
S1 0.100 0.185 0.932 1
S2 0.250 0.672 0.942 1
S3 0.366 0.039 0.732 1
# **DOS at the Fermi energy**: 1.99 states/eV/cell
# **Calculated total energy**: -0.4745 Ry/atom
# **Formation energy from raw total energies**: -1.6565 eV per atom